The following is a PBE calculation of a geometry-optimized K2Bi3O8 structure, from Alexandria.

Values from the calculation:
Formation energy (no corrections) = -1.104 eV per atom
Final energy = -5.22 eV/atom
Density of states at the Fermi level = 2.105 states/eV/cell

abc: 5.756 6.896 7.438
angles: 117.62 107.20 90.00
Fractional positions:
K 0.659 0.720 0.439
K 0.341 0.280 0.561
O 0.098 0.909 0.818
O 0.387 0.308 0.184
O 0.026 0.397 0.794
O 0.902 0.091 0.182
O 0.613 0.124 0.816
O 0.974 0.603 0.206
O 0.387 0.876 0.184
O 0.613 0.692 0.816
Bi 0.000 0.263 0.000
Bi 0.000 0.737 0.000
Bi 0.500 0.000 0.000

---

The following is a PBE calculation of a geometry-optimized Sr8GaPb2 structure, from Alexandria.

Values from the calculation:
Final energy = -2.50 eV/atom
Energy relative to the elements = -0.326 eV/atom
Density of states at the Fermi level = 9.361 states/eV/cell

abc: 5.777 7.911 10.673
angles: 106.60 105.70 90.00
Fractional positions:
Sr 0.656 0.954 0.313
Sr 0.406 0.570 0.812
Sr 0.794 0.701 0.588
Sr 0.344 0.046 0.687
Sr 0.594 0.430 0.188
Sr 0.973 0.208 0.945
Sr 0.027 0.792 0.055
Sr 0.206 0.299 0.412
Pb 0.813 0.288 0.626
Pb 0.187 0.712 0.374
Ga 0.500 0.000 0.000

---

The following is a PBE calculation of a geometry-optimized AsRhPb2 structure, from Alexandria.

Values from the calculation:
Final energy = -4.94 eV/atom
Energy relative to the elements = -0.084 eV/atom
Density of states at the Fermi level = 2.206 states/eV/cell

abc: 4.491 4.962 4.964
angles: 64.77 90.00 90.00
Fractional positions:
Pb 0.500 0.328 0.328
Pb 0.000 0.935 0.935
As 0.500 0.679 0.680
Rh 0.000 0.558 0.557

---

The following is a PBE calculation of a geometry-optimized BaLi3Hf structure, from Alexandria.

Values from the calculation:
Final energy = -2.66 eV/atom
Energy relative to the elements = 0.863 eV/atom
Energy relative to the lowest polymorph listed for this composition = 0.00 eV/f.u.
Density of states at the Fermi level = 7.465 states/eV/cell

abc: 5.525 5.525 5.525
angles: 90.00 90.00 90.00
Fractional positions:
Hf 0.000 0.000 0.000
Li 0.500 0.000 0.000
Li 0.000 0.000 0.500
Li 0.000 0.500 0.000
Ba 0.500 0.500 0.500

---

The following is a PBE calculation of a geometry-optimized Nd12IrRh6 structure, from Alexandria.

Values from the calculation:
Final energy = -6.32 eV/atom
Energy relative to the elements = -0.517 eV/atom
Density of states at the Fermi level = 9.866 states/eV/cell

abc: 8.390 8.390 8.390
angles: 99.59 99.59 99.59
Fractional positions:
Rh 0.688 0.865 0.383
Rh 0.865 0.383 0.688
Rh 0.383 0.688 0.865
Rh 0.312 0.135 0.617
Rh 0.617 0.312 0.135
Rh 0.135 0.617 0.312
Ir 0.000 0.000 0.000
Nd 0.823 0.585 0.421
Nd 0.917 0.049 0.676
Nd 0.579 0.177 0.415
Nd 0.951 0.324 0.083
Nd 0.177 0.415 0.579
Nd 0.083 0.951 0.324
Nd 0.676 0.917 0.049
Nd 0.049 0.676 0.917
Nd 0.585 0.421 0.823
Nd 0.415 0.579 0.177
Nd 0.324 0.083 0.951
Nd 0.421 0.823 0.585

---

The following is a PBE calculation of a geometry-optimized Li2ScVP structure, from Alexandria.

Values from the calculation:
Final energy = -3.66 eV/atom
Energy relative to the elements = 1.278 eV/atom
Density of states at the Fermi level = 4.405 states/eV/cell

abc: 4.687 4.687 4.431
angles: 90.00 90.00 90.00
Fractional positions:
Sc 0.000 0.000 0.000
P 0.500 0.500 0.500
V 0.000 0.000 0.500
Li 0.000 0.500 0.000
Li 0.500 0.000 0.000

---

The following is a PBE calculation of a geometry-optimized HfUReOs structure, from Alexandria.

Values from the calculation:
Final energy = -11.34 eV/atom
Energy relative to the elements = -0.112 eV/atom
Density of states at the Fermi level = 7.963 states/eV/cell

abc: 4.719 4.719 4.719
angles: 60.00 60.00 60.00
Fractional positions:
Os 0.750 0.750 0.750
Hf 0.000 0.000 0.000
Re 0.250 0.250 0.250
U 0.500 0.500 0.500

---

The following is a PBE calculation of a geometry-optimized TaCd2Si structure, from Alexandria.

Values from the calculation:
Formation energy (no corrections) = 0.150 eV per atom
Final energy = -4.63 eV/atom
Density of states at the Fermi level = 1.734 states/eV/cell

abc: 7.310 7.310 4.406
angles: 79.79 79.79 22.24
Fractional positions:
Cd 0.566 0.566 0.485
Cd 0.934 0.934 0.015
Ta 0.250 0.250 0.250
Si 0.750 0.750 0.750